No. 1
Density functional theory data (GGA-PBE) for a relaxed Hg5C3 crystal.

```
Hg5C3
1.0
7.029 0.000 0.000
0.000 7.331 0.000
-2.540 0.000 8.056
Hg C
10 6
Direct
0.000 0.000 0.000 Hg
0.001 0.500 0.479 Hg
0.254 0.500 0.877 Hg
0.263 0.000 0.644 Hg
0.314 0.247 0.349 Hg
0.314 0.753 0.349 Hg
0.687 0.253 0.130 Hg
0.687 0.747 0.130 Hg
0.737 0.500 0.834 Hg
0.747 0.000 0.602 Hg
0.044 0.000 0.765 C
0.162 0.500 0.301 C
0.439 0.000 0.472 C
0.562 0.500 0.008 C
0.840 0.000 0.180 C
0.957 0.500 0.715 C
```

As for the space group: Pm, No. 6. The calculated formation energy is 1.36 eV/atom. For the total moment, the calculation gives 0.983 μB/f.u. The value obtained for the energy above the lowest structure with this stoichiometry is 0.000 eV per atom.

---

No. 2
Density functional theory data (GGA-PBE) for a relaxed HgC crystal.

```
HgC
1.0
2.710 0.000 0.000
0.000 15.479 0.000
0.000 0.000 6.025
Hg C
6 6
Direct
0.250 0.133 0.228 Hg
0.250 0.367 0.228 Hg
0.250 0.750 0.255 Hg
0.750 0.250 0.745 Hg
0.750 0.633 0.772 Hg
0.750 0.867 0.772 Hg
0.250 0.015 0.027 C
0.250 0.250 0.422 C
0.250 0.485 0.027 C
0.750 0.515 0.973 C
0.750 0.750 0.578 C
0.750 0.985 0.973 C
```

Its density of states at the Fermi level is 0.323 states/eV/atom. As for the space group: Pmmn, No. 59. The calculated formation energy is 1.23 eV/atom. For the total moment, the calculation gives 0.007 μB/f.u. The value obtained for the energy above the lowest structure with this stoichiometry is 0.697 eV per atom.

---

No. 3
Density functional theory data (GGA-PBE) for a relaxed Hg3C5 crystal.

```
Hg3C5
1.0
3.765 -7.249 0.000
3.765 7.249 0.000
0.000 0.000 2.682
Hg C
3 5
Direct
0.000 0.000 0.000 Hg
0.241 0.759 0.500 Hg
0.759 0.241 0.500 Hg
0.000 0.500 0.000 C
0.396 0.396 0.500 C
0.500 0.000 0.000 C
0.500 0.500 0.000 C
0.604 0.604 0.500 C
```

Its density of states at the Fermi level is 0.417 states/eV/atom. As for the space group: Cmmm, No. 65. The calculated formation energy is 2.37 eV/atom. For the total moment, the calculation gives 1.328 μB/f.u. The value obtained for the energy above the lowest structure with this stoichiometry is 1.151 eV per atom.

---

No. 4
Density functional theory data (GGA-PBE) for a relaxed Hg3C4 crystal.

```
Hg3C4
1.0
7.035 0.000 0.000
-3.517 6.092 0.000
0.000 0.000 2.719
Hg C
3 4
Direct
0.000 0.500 0.000 Hg
0.500 0.000 0.000 Hg
0.500 0.500 0.000 Hg
0.000 0.000 0.248 C
0.000 0.000 0.752 C
0.333 0.667 0.500 C
0.667 0.333 0.500 C
```

Its density of states at the Fermi level is 0.391 states/eV/atom. As for the space group: P6/mmm, No. 191. The calculated formation energy is 1.69 eV/atom. For the total moment, the calculation gives 0.295 μB/f.u. The value obtained for the energy above the lowest structure with this stoichiometry is 0.000 eV per atom.

---

No. 5
Density functional theory data (GGA-PBE) for a relaxed HgC crystal.

```
HgC
1.0
6.490 0.000 0.000
0.000 2.646 0.000
0.000 0.000 13.551
Hg C
4 4
Direct
0.207 0.250 0.245 Hg
0.293 0.750 0.745 Hg
0.707 0.250 0.255 Hg
0.793 0.750 0.755 Hg
0.000 0.250 0.500 C
0.000 0.750 0.500 C
0.500 0.250 0.000 C
0.500 0.750 0.000 C
```

Its density of states at the Fermi level is 0.377 states/eV/atom. As for the space group: Pnma, No. 62. The calculated formation energy is 0.62 eV/atom. For the total moment, the calculation gives 0.000 μB/f.u. The value obtained for the energy above the lowest structure with this stoichiometry is 0.080 eV per atom.

---

No. 6
Density functional theory data (GGA-PBE) for a relaxed HgC crystal.

```
HgC
1.0
4.143 0.000 0.000
0.000 4.573 2.856
0.000 -4.573 2.856
Hg C
3 3
Direct
0.000 0.000 0.000 Hg
0.500 0.248 0.626 Hg
0.500 0.626 0.248 Hg
0.000 0.222 0.737 C
0.000 0.737 0.222 C
0.500 0.167 0.167 C
```

Its density of states at the Fermi level is 0.435 states/eV/atom. As for the space group: Amm2, No. 38. The calculated formation energy is 2.27 eV/atom. For the total moment, the calculation gives 0.000 μB/f.u. The value obtained for the energy above the lowest structure with this stoichiometry is 1.734 eV per atom.

---

No. 7
Density functional theory data (GGA-PBE) for a relaxed Hg3C crystal.

```
Hg3C
1.0
7.955 0.000 0.000
-3.977 6.889 0.000
0.000 0.000 6.252
Hg C
12 4
Direct
0.000 0.500 0.000 Hg
0.000 0.500 0.500 Hg
0.136 0.272 0.250 Hg
0.136 0.864 0.250 Hg
0.272 0.136 0.750 Hg
0.500 0.000 0.000 Hg
0.500 0.000 0.500 Hg
0.500 0.500 0.000 Hg
0.500 0.500 0.500 Hg
0.728 0.864 0.250 Hg
0.864 0.136 0.750 Hg
0.864 0.728 0.750 Hg
0.000 0.000 0.000 C
0.000 0.000 0.500 C
0.333 0.667 0.750 C
0.667 0.333 0.250 C
```

Its density of states at the Fermi level is 0.472 states/eV/atom. As for the space group: P6_3/mmc, No. 194. The calculated formation energy is 1.30 eV/atom. For the total moment, the calculation gives 0.000 μB/f.u. The value obtained for the energy above the lowest structure with this stoichiometry is 0.896 eV per atom.

---

No. 8
Density functional theory data (GGA-PBE) for a relaxed HgC crystal.

```
HgC
1.0
1.318 -3.402 0.000
1.318 3.402 0.000
0.000 0.000 10.069
Hg C
2 2
Direct
0.250 0.750 0.831 Hg
0.750 0.250 0.169 Hg
0.250 0.750 0.500 C
0.750 0.250 0.500 C
```

Its density of states at the Fermi level is 0.130 states/eV/atom. As for the space group: Cmme, No. 67. The calculated formation energy is 0.62 eV/atom. For the total moment, the calculation gives 0.000 μB/f.u. The value obtained for the energy above the lowest structure with this stoichiometry is 0.078 eV per atom.

---

No. 9
Density functional theory data (GGA-PBE) for a relaxed Hg3C4 crystal.

```
Hg3C4
1.0
-1.287 1.287 16.498
1.287 -1.287 16.498
1.287 1.287 -16.498
Hg C
3 4
Direct
0.000 0.000 0.000 Hg
0.305 0.305 0.000 Hg
0.695 0.695 0.000 Hg
0.097 0.097 0.000 C
0.402 0.402 0.000 C
0.598 0.598 0.000 C
0.903 0.903 0.000 C
```

Its density of states at the Fermi level is 0.241 states/eV/atom. As for the space group: I4/mmm, No. 139. The calculated formation energy is 2.08 eV/atom. For the total moment, the calculation gives 0.000 μB/f.u. The value obtained for the energy above the lowest structure with this stoichiometry is 0.388 eV per atom.

---

No. 10
Density functional theory data (GGA-PBE) for a relaxed Hg3C crystal.

```
Hg3C
1.0
4.044 0.000 0.000
0.000 6.660 0.000
0.000 0.000 6.899
Hg C
6 2
Direct
0.250 0.039 0.168 Hg
0.250 0.250 0.565 Hg
0.250 0.461 0.168 Hg
0.750 0.539 0.832 Hg
0.750 0.750 0.435 Hg
0.750 0.961 0.832 Hg
0.250 0.750 0.007 C
0.750 0.250 0.993 C
```

Its density of states at the Fermi level is 0.177 states/eV/atom. As for the space group: Pmmn, No. 59. The calculated formation energy is 1.22 eV/atom. For the total moment, the calculation gives 0.000 μB/f.u. The value obtained for the energy above the lowest structure with this stoichiometry is 0.814 eV per atom.

---

No. 11
Density functional theory data (GGA-PBE) for a relaxed HgC crystal.

```
HgC
1.0
6.170 0.000 0.000
0.000 6.170 0.000
0.000 0.000 3.839
Hg C
4 4
Direct
0.187 0.187 0.000 Hg
0.313 0.687 0.500 Hg
0.687 0.313 0.500 Hg
0.813 0.813 0.000 Hg
0.190 0.810 0.000 C
0.310 0.310 0.500 C
0.690 0.690 0.500 C
0.810 0.190 0.000 C
```

Its density of states at the Fermi level is 0.612 states/eV/atom. As for the space group: P4_2/mnm, No. 136. The calculated formation energy is 2.29 eV/atom. For the total moment, the calculation gives 0.000 μB/f.u. The value obtained for the energy above the lowest structure with this stoichiometry is 1.756 eV per atom.

---

No. 12
Density functional theory data (GGA-PBE) for a relaxed HgC crystal.

```
HgC
1.0
1.677 -3.443 0.000
1.677 3.443 0.000
0.000 0.000 3.213
Hg C
1 1
Direct
0.000 0.000 0.000 Hg
0.500 0.500 0.500 C
```

Its density of states at the Fermi level is 0.679 states/eV/atom. As for the space group: Cmmm, No. 65. The calculated formation energy is 2.48 eV/atom. For the total moment, the calculation gives 0.860 μB/f.u. The value obtained for the energy above the lowest structure with this stoichiometry is 1.940 eV per atom.